Entry 1:
Below is a geometry-optimized Ce2SmPb structure, with properties calculated at the PBE level.

Cell: 4.5558 4.4236 11.6861 Å, 90.00 99.58 90.00°
Fractional coordinates of all 8 atoms:
Ce: 0.6068 0.2500 0.1123
Ce: 0.3932 0.7500 0.8877
Ce: 0.9964 0.7500 0.1127
Ce: 0.0036 0.2500 0.8873
Sm: 0.6978 0.7500 0.3883
Sm: 0.3022 0.2500 0.6117
Pb: 0.1796 0.2500 0.3291
Pb: 0.8204 0.7500 0.6709

Fermi-level density of states: 15.799 states/eV per cell
ΔH_f (0 K): -0.299 eV/atom
SG: P2_1/m, No. 11



Entry 2:
Below is a geometry-optimized CeSmPb structure, with properties calculated at the PBE level.

Cell: 4.3206 4.3206 9.9106 Å, 90.00 90.00 90.00°
Fractional coordinates of all 6 atoms:
Pb: 0.0000 0.5000 0.6002
Pb: 0.5000 0.0000 0.3998
Sm: 0.5000 0.0000 0.7279
Sm: 0.0000 0.5000 0.2721
Ce: 0.0000 0.5000 0.9279
Ce: 0.5000 0.0000 0.0721

Fermi-level density of states: 12.481 states/eV per cell
ΔH_f (0 K): -0.058 eV/atom
SG: P4/nmm, No. 129



Entry 3:
Below is a geometry-optimized CeSmPb2 structure, with properties calculated at the PBE level.

Cell: 4.6342 4.5445 6.4029 Å, 90.00 111.17 90.00°
Fractional coordinates of all 4 atoms:
Ce: 0.7137 0.0000 0.9674
Sm: 0.4527 0.5000 0.4433
Pb: 0.1801 0.5000 0.9002
Pb: 0.9845 0.0000 0.5070

Fermi-level density of states: 8.425 states/eV per cell
ΔH_f (0 K): -0.450 eV/atom
SG: Amm2, No. 38



Entry 4:
Below is a geometry-optimized CeSmPb2 structure, with properties calculated at the PBE level.

Cell: 3.5696 5.8254 5.8254 Å, 103.14 90.00 90.00°
Fractional coordinates of all 4 atoms:
Ce: 0.5000 0.5000 0.5000
Sm: 0.5000 0.0000 0.0000
Pb: 0.0000 0.5000 0.0000
Pb: 0.0000 0.0000 0.5000

Fermi-level density of states: 8.244 states/eV per cell
ΔH_f (0 K): -0.445 eV/atom
SG: Cmmm, No. 65



Entry 5:
Below is a geometry-optimized CeSm3Pb2 structure, with properties calculated at the PBE level.

Cell: 7.6420 7.6532 9.1845 Å, 114.62 114.58 90.00°
Fractional coordinates of all 12 atoms:
Ce: 0.0000 0.5000 0.0000
Ce: 0.0000 0.0000 0.0000
Sm: 0.5000 0.2500 0.0000
Sm: 0.5000 0.7500 0.0000
Sm: 0.7903 0.0403 0.5806
Sm: 0.2097 0.4597 0.4194
Sm: 0.2097 0.9597 0.4194
Sm: 0.7903 0.5403 0.5806
Pb: 0.5396 0.3568 0.7136
Pb: 0.8260 0.1432 0.2864
Pb: 0.1740 0.8568 0.7136
Pb: 0.4604 0.6432 0.2864

Fermi-level density of states: 22.385 states/eV per cell
ΔH_f (0 K): -0.134 eV/atom
SG: Ibam, No. 72



Entry 6:
Below is a geometry-optimized Ce3SmPb3 structure, with properties calculated at the PBE level.

Cell: 5.5106 9.3977 9.3977 Å, 120.00 90.00 90.00°
Fractional coordinates of all 14 atoms:
Ce: 0.2500 0.7785 0.7693
Ce: 0.2500 0.2307 0.0092
Ce: 0.2500 0.9908 0.2215
Ce: 0.7500 0.2215 0.2307
Ce: 0.7500 0.7693 0.9908
Ce: 0.7500 0.0092 0.7785
Sm: 0.2500 0.6667 0.3333
Sm: 0.7500 0.3333 0.6667
Pb: 0.7500 0.6208 0.5449
Pb: 0.7500 0.4551 0.0759
Pb: 0.7500 0.9241 0.3792
Pb: 0.2500 0.3792 0.4551
Pb: 0.2500 0.5449 0.9241
Pb: 0.2500 0.0759 0.6208

Fermi-level density of states: 33.932 states/eV per cell
ΔH_f (0 K): -0.242 eV/atom
SG: P6_3/m, No. 176



Entry 7:
Below is a geometry-optimized Ce2SmPb structure, with properties calculated at the PBE level.

Cell: 3.4672 3.4672 12.5467 Å, 82.06 82.06 60.00°
Fractional coordinates of all 4 atoms:
Pb: 0.0000 0.0000 0.0000
Ce: 0.0881 0.0881 0.7356
Ce: 0.9119 0.9119 0.2644
Sm: 0.5000 0.5000 0.5000

Fermi-level density of states: 10.487 states/eV per cell
ΔH_f (0 K): 0.175 eV/atom
SG: R-3m, No. 166



Entry 8:
Below is a geometry-optimized CeSmPb2 structure, with properties calculated at the PBE level.

Cell: 3.5938 3.5938 9.1583 Å, 90.00 90.00 90.00°
Fractional coordinates of all 4 atoms:
Pb: 0.0000 0.0000 0.7523
Pb: 0.0000 0.0000 0.2477
Ce: 0.5000 0.5000 0.5000
Sm: 0.5000 0.5000 0.0000

Fermi-level density of states: 8.570 states/eV per cell
ΔH_f (0 K): -0.445 eV/atom
SG: P4/mmm, No. 123



Entry 9:
Below is a geometry-optimized CeSmPb structure, with properties calculated at the PBE level.

Cell: 5.7348 3.5096 9.9556 Å, 100.15 106.74 90.00°
Fractional coordinates of all 6 atoms:
Ce: 0.2624 0.5000 0.0000
Ce: 0.7376 0.5000 0.0000
Sm: 0.3295 0.8295 0.6591
Sm: 0.6705 0.1705 0.3409
Pb: 0.8431 0.3431 0.6863
Pb: 0.1569 0.6569 0.3137

Fermi-level density of states: 11.006 states/eV per cell
ΔH_f (0 K): -0.163 eV/atom
SG: Immm, No. 71



Entry 10:
Below is a geometry-optimized CeSm2Pb3 structure, with properties calculated at the PBE level.

Cell: 4.5019 6.4220 7.9127 Å, 113.94 106.53 90.00°
Fractional coordinates of all 6 atoms:
Ce: 0.0000 0.5000 0.0000
Sm: 0.6686 0.1686 0.3373
Sm: 0.3314 0.8314 0.6627
Pb: 0.3360 0.3360 0.6721
Pb: 0.0000 0.0000 0.0000
Pb: 0.6640 0.6640 0.3279

Fermi-level density of states: 8.225 states/eV per cell
ΔH_f (0 K): -0.360 eV/atom
SG: Immm, No. 71



Entry 11:
Below is a geometry-optimized Ce5SmPb3 structure, with properties calculated at the PBE level.

Cell: 6.7283 9.6412 9.6413 Å, 120.00 90.00 90.00°
Fractional coordinates of all 18 atoms:
Ce: 0.0000 0.6667 0.3333
Ce: 0.5000 0.3333 0.6667
Ce: 0.0000 0.3333 0.6667
Ce: 0.5000 0.6667 0.3333
Ce: 0.7500 0.6603 0.6603
Ce: 0.7500 0.0000 0.3397
Ce: 0.7500 0.3397 0.0000
Ce: 0.2500 0.3397 0.3397
Ce: 0.2500 0.0000 0.6603
Ce: 0.2500 0.6603 0.0000
Sm: 0.0000 0.0000 0.0000
Sm: 0.5000 0.0000 0.0000
Pb: 0.7500 0.3278 0.3278
Pb: 0.7500 0.0000 0.6722
Pb: 0.7500 0.6722 0.0000
Pb: 0.2500 0.6722 0.6722
Pb: 0.2500 0.0000 0.3278
Pb: 0.2500 0.3278 0.0000

Fermi-level density of states: 49.043 states/eV per cell
ΔH_f (0 K): -0.322 eV/atom
SG: P6_3/mcm, No. 193



Entry 12:
Below is a geometry-optimized Ce2SmPb structure, with properties calculated at the PBE level.

Cell: 5.1599 4.7234 4.7234 Å, 90.00 90.00 90.00°
Fractional coordinates of all 4 atoms:
Pb: 0.5000 0.0000 0.0000
Ce: 0.0000 0.0000 0.5000
Ce: 0.0000 0.5000 0.0000
Sm: 0.5000 0.5000 0.5000

Fermi-level density of states: 10.936 states/eV per cell
ΔH_f (0 K): -0.268 eV/atom
SG: P4/mmm, No. 123